No. 1
The following is a PBE calculation of As2P after structural relaxation, from Alexandria.

```
3
Lattice="-1.3354 1.3354 7.7454 1.3354 -1.3354 7.7454 1.3354 1.3354 -7.7454" Properties=species:S:1:pos:R:3 pbc="T T T"
As 0.0000 0.0000 2.4445
As 0.0000 0.0000 13.0463
P 0.0000 0.0000 7.7454
```

- Electronic total energy: -0.3151 Ry per atom
- Crystal system: tetragonal
- Symmetry: I4/mmm

No. 2
The following is a PBE calculation of BaBe2NbO6 after structural relaxation, from Alexandria.

```
10
Lattice="2.6745 1.5441 5.5075 -2.6745 1.5441 5.5075 0.0000 -3.0882 5.5075" Properties=species:S:1:pos:R:3 pbc="T T T"
Ba 0.0000 0.0000 0.0000
Be 0.0000 0.0000 3.9301
Be 0.0000 0.0000 12.5924
Nb 0.0000 0.0000 8.2613
O -1.5346 -0.5241 7.0779
O -0.3134 -1.5910 9.4446
O -1.2211 1.0670 9.4446
O 1.2211 -1.0670 7.0779
O 0.3134 1.5910 7.0779
O 1.5346 0.5241 9.4446
```

- Electronic total energy: -0.5409 Ry per atom
- Crystal system: trigonal
- Symmetry: R-3

No. 3
The following is a PBE calculation of Ca2Tc2Br after structural relaxation, from Alexandria.

```
5
Lattice="-2.9209 2.9209 3.8528 2.9209 -2.9209 3.8528 2.9209 2.9209 -3.8528" Properties=species:S:1:pos:R:3 pbc="T T T"
Ca 2.9209 0.0000 1.9264
Ca 0.0000 2.9209 1.9264
Tc 0.0000 0.0000 1.0951
Tc 0.0000 0.0000 6.6105
Br 0.0000 0.0000 3.8528
```

- Electronic total energy: -0.3474 Ry per atom
- Crystal system: tetragonal
- Symmetry: I4/mmm

No. 4
The following is a PBE calculation of Ce2DyTm3S6 after structural relaxation, from Alexandria.

```
12
Lattice="8.5610 -1.9430 0.0000 8.5610 1.9430 0.0000 -1.9335 0.0000 7.6515" Properties=species:S:1:pos:R:3 pbc="T T T"
Ce 2.2190 0.0000 2.5690
Ce 12.9696 0.0000 5.0825
Dy 8.5610 0.0000 0.0000
Tm 1.2592 0.0000 6.3685
Tm 7.5943 0.0000 3.8258
Tm 13.9294 0.0000 1.2830
S -1.3801 0.0000 5.7254
S 3.9016 0.0000 7.0997
S 4.9979 0.0000 3.1122
S 10.1907 0.0000 4.5393
S 11.2869 0.0000 0.5518
S 16.5687 0.0000 1.9261
```

- Electronic total energy: -0.4809 Ry per atom
- Crystal system: monoclinic
- Symmetry: C2/m

No. 5
The following is a PBE calculation of BeCdAs after structural relaxation, from Alexandria.

```
6
Lattice="3.7673 0.0000 0.0000 -1.8775 3.2666 0.0000 -1.8705 -1.0829 9.0810" Properties=species:S:1:pos:R:3 pbc="T T T"
Be -0.9399 0.5455 3.7710
Be 0.9592 1.6383 5.3100
Cd -0.9481 2.7277 1.0479
Cd 0.9674 -0.5439 8.0332
As -0.9239 0.5476 6.0832
As 0.9432 1.6362 2.9978
```

- Electronic total energy: -0.2305 Ry per atom
- Crystal system: triclinic
- Symmetry: P-1

No. 6
The following is a PBE calculation of TiCuAs2 after structural relaxation, from Alexandria.

```
4
Lattice="0.0000 3.1904 3.1904 3.1904 0.0000 3.1904 3.1904 3.1904 0.0000" Properties=species:S:1:pos:R:3 pbc="T T T"
Ti 0.0000 0.0000 0.0000
Cu 3.1904 3.1904 3.1904
As 1.5952 1.5952 1.5952
As 4.7856 4.7856 4.7856
```

- Electronic total energy: -0.3975 Ry per atom
- Crystal system: cubic
- Symmetry: Fm-3m